A plane-wave DFT calculation with GGA-PBE was carried out for an optimized crystal structure of SrAlAu6.

Computed properties:
Formation energy from the elements: -386 meV/atom
M_tot: 0.0 μB per formula unit
Energy above the most stable polymorph in this dataset: 0.00 kcal/mol of atoms

```
data_SrAlAu6
_space_group_name_H-M_alt 'P 4/m m m'
_space_group_IT_number 123
_space_group_name_Hall '-P 4 2'
_cell_length_a 4.221
_cell_length_b 4.221
_cell_length_c 9.687
_cell_angle_alpha 90.00
_cell_angle_beta 90.00
_cell_angle_gamma 90.00
loop_
_atom_site_label
_atom_site_fract_x
_atom_site_fract_y
_atom_site_fract_z
Sr1 0.000 0.000 0.000
Al1 0.000 0.000 0.500
Au1 0.000 0.500 0.340
Au2 0.500 0.500 0.139
```